# Cs2SrVCl6

An optimized crystal structure of Cs2SrVCl6 (PBE, the Alexandria database).

Results
For the density of states at the Fermi level, the calculation gives 0.000 states/eV per atom. As for the energy relative to the elements, uncorrected: -18.96 eV/f.u.

a = 10.743 Å, b = 10.743 Å, c = 10.743 Å
α = 90.00°, β = 90.00°, γ = 90.00°
Space group Fm-3m (No. 225)
Symmetry-distinct sites (fractional):
Cs: 0.250 0.250 0.250 [8 per cell]
Sr: 0.000 0.000 0.000 [4 per cell]
V: 0.000 0.000 0.500 [4 per cell]
Cl: 0.000 0.000 0.267 [24 per cell]


# CsSrV2Cl8

An optimized crystal structure of CsSrV2Cl8 (PBE, the Alexandria database).

Results
For the density of states at the Fermi level, the calculation gives 0.787 states/eV per atom. As for the energy relative to the elements, uncorrected: -18.49 eV/f.u.

a = 6.8142 Å, b = 6.8142 Å, c = 10.2078 Å
α = 90.00°, β = 90.00°, γ = 120.00°
Space group P-3 (No. 147)
Symmetry-distinct sites (fractional):
Cs: 0.0000 0.0000 0.0000 [1 per cell]
Sr: 0.0000 0.0000 0.5000 [1 per cell]
V: 0.3333 0.6667 0.7436 [2 per cell]
Cl: 0.0097 0.3361 0.6806 [6 per cell]
Cl: 0.3333 0.6667 0.9640 [2 per cell]


# CsSrYCl6

An optimized crystal structure of CsSrYCl6 (PBE, the Alexandria database).

Results
For the density of states at the Fermi level, the calculation gives 0.000 states/eV per atom. As for the energy relative to the elements, uncorrected: -20.93 eV/f.u.

a = 7.4067 Å, b = 7.4067 Å, c = 7.5105 Å
α = 90.00°, β = 90.00°, γ = 120.00°
Space group P312 (No. 149)
Symmetry-distinct sites (fractional):
Cs: 0.0000 0.0000 0.0000 [1 per cell]
Sr: 0.6667 0.3333 0.5000 [1 per cell]
Y: 0.3333 0.6667 0.5000 [1 per cell]
Cl: 0.0249 0.3886 0.2957 [6 per cell]


# CsSr2YCl8

An optimized crystal structure of CsSr2YCl8 (PBE, the Alexandria database).

Results
For the density of states at the Fermi level, the calculation gives 0.000 states/eV per atom. As for the energy relative to the elements, uncorrected: -27.63 eV/f.u.

a = 6.664 Å, b = 6.805 Å, c = 9.300 Å
α = 89.98°, β = 89.95°, γ = 89.48°
Space group P-1 (No. 2)
Symmetry-distinct sites (fractional):
Cs: 0.000 0.000 0.000 [1 per cell]
Sr: 0.500 0.500 0.251 [2 per cell]
Y: 0.000 0.000 0.500 [1 per cell]
Cl: 0.230 0.835 0.301 [2 per cell]
Cl: 0.230 0.835 0.698 [2 per cell]
Cl: 0.258 0.313 0.500 [2 per cell]
Cl: 0.270 0.400 0.000 [2 per cell]


# CsSrZnCl5

An optimized crystal structure of CsSrZnCl5 (PBE, the Alexandria database).

Results
For the density of states at the Fermi level, the calculation gives 0.000 states/eV per atom. As for the energy relative to the elements, uncorrected: -14.99 eV/f.u.

a = 9.518 Å, b = 12.710 Å, c = 10.377 Å
α = 90.00°, β = 113.89°, γ = 90.00°
Space group C2/c (No. 15)
Symmetry-distinct sites (fractional):
Cs: 0.000 0.154 0.250 [4 per cell]
Sr: 0.000 0.500 0.000 [4 per cell]
Zn: 0.000 0.189 0.750 [4 per cell]
Cl: 0.000 0.417 0.250 [4 per cell]
Cl: 0.104 0.289 0.626 [8 per cell]
Cl: 0.180 0.080 0.913 [8 per cell]


# Cs2SrZrCl6

An optimized crystal structure of Cs2SrZrCl6 (PBE, the Alexandria database).

Results
For the density of states at the Fermi level, the calculation gives 1.011 states/eV per atom. As for the energy relative to the elements, uncorrected: -19.01 eV/f.u.

a = 10.998 Å, b = 10.998 Å, c = 10.998 Å
α = 90.00°, β = 90.00°, γ = 90.00°
Space group Fm-3m (No. 225)
Symmetry-distinct sites (fractional):
Cs: 0.250 0.250 0.250 [8 per cell]
Sr: 0.000 0.000 0.000 [4 per cell]
Zr: 0.000 0.000 0.500 [4 per cell]
Cl: 0.000 0.000 0.260 [24 per cell]


# Cs6TaCl12

An optimized crystal structure of Cs6TaCl12 (PBE, the Alexandria database).

Results
For the density of states at the Fermi level, the calculation gives 2.122 states/eV per atom. As for the energy relative to the elements, uncorrected: -30.77 eV/f.u.

a = 13.4166 Å, b = 13.4166 Å, c = 17.9483 Å
α = 90.00°, β = 90.00°, γ = 120.00°
Space group R-3 (No. 148, hexagonal axes)
Symmetry-distinct sites (fractional):
Cs: 0.0147 0.7402 0.2473 [18 per cell]
Ta: 0.0000 0.0000 0.5000 [3 per cell]
Cl: 0.0129 0.7591 0.7520 [18 per cell]
Cl: 0.0679 0.1662 0.5758 [18 per cell]


# Cs2TaCl7

An optimized crystal structure of Cs2TaCl7 (PBE, the Alexandria database).

Results
As for the energy relative to the elements, uncorrected: -15.61 eV/f.u.

a = 17.740 Å, b = 8.095 Å, c = 12.763 Å
α = 90.00°, β = 129.92°, γ = 90.00°
Space group C2/c (No. 15)
Symmetry-distinct sites (fractional):
Cs: 0.138 0.168 0.047 [8 per cell]
Ta: 0.000 0.291 0.250 [4 per cell]
Cl: 0.000 0.402 0.750 [4 per cell]
Cl: 0.086 0.289 0.488 [8 per cell]
Cl: 0.087 0.036 0.257 [8 per cell]
Cl: 0.155 0.383 0.301 [8 per cell]


# CsTaCl5

An optimized crystal structure of CsTaCl5 (PBE, the Alexandria database).

Results
For the density of states at the Fermi level, the calculation gives 0.060 states/eV per atom. As for the energy relative to the elements, uncorrected: -10.26 eV/f.u.

a = 13.851 Å, b = 7.724 Å, c = 9.834 Å
α = 90.00°, β = 110.82°, γ = 90.00°
Space group C2/c (No. 15)
Symmetry-distinct sites (fractional):
Cs: 0.000 0.000 0.250 [4 per cell]
Ta: 0.000 0.500 0.000 [4 per cell]
Cl: 0.000 0.498 0.250 [4 per cell]
Cl: 0.130 0.279 0.064 [8 per cell]
Cl: 0.130 0.279 0.566 [8 per cell]


# Cs3TaCl7

An optimized crystal structure of Cs3TaCl7 (PBE, the Alexandria database).

Results
For the density of states at the Fermi level, the calculation gives 0.737 states/eV per atom. As for the energy relative to the elements, uncorrected: -18.67 eV/f.u.

a = 10.358 Å, b = 10.358 Å, c = 7.351 Å
α = 90.00°, β = 90.00°, γ = 90.00°
Space group P4/mbm (No. 127)
Symmetry-distinct sites (fractional):
Cs: 0.000 0.000 0.000 [2 per cell]
Cs: 0.181 0.319 0.500 [4 per cell]
Ta: 0.000 0.500 0.000 [2 per cell]
Cl: 0.000 0.000 0.500 [2 per cell]
Cl: 0.116 0.616 0.235 [8 per cell]
Cl: 0.166 0.334 0.000 [4 per cell]


# CsTa2Cl

An optimized crystal structure of CsTa2Cl (PBE, the Alexandria database).

Results
For the density of states at the Fermi level, the calculation gives 2.037 states/eV per atom. The offset from the most stable computed form comes out at 810.2 meV per atom. As for the energy relative to the elements, uncorrected: 8.45 eV/f.u.

a = 6.919 Å, b = 6.919 Å, c = 6.919 Å
α = 90.00°, β = 90.00°, γ = 90.00°
Space group Fm-3m (No. 225)
Symmetry-distinct sites (fractional):
Cs: 0.000 0.000 0.000 [4 per cell]
Ta: 0.250 0.250 0.250 [8 per cell]
Cl: 0.000 0.000 0.500 [4 per cell]


# CsTa2Cl

An optimized crystal structure of CsTa2Cl (PBE, the Alexandria database).

Results
For the density of states at the Fermi level, the calculation gives 1.205 states/eV per atom. The offset from the most stable computed form comes out at 0.0 meV per atom. As for the energy relative to the elements, uncorrected: 5.21 eV/f.u.

a = 5.005 Å, b = 5.005 Å, c = 19.742 Å
α = 90.00°, β = 90.00°, γ = 90.00°
Space group I4_1/amd (No. 141, origin choice 2)
Symmetry-distinct sites (fractional):
Cs: 0.000 0.250 0.375 [4 per cell]
Ta: 0.000 0.000 0.000 [8 per cell]
Cl: 0.000 0.250 0.875 [4 per cell]


# Cs3TaCl8

An optimized crystal structure of Cs3TaCl8 (PBE, the Alexandria database).

Results
As for the energy relative to the elements, uncorrected: -20.12 eV/f.u.

a = 10.3132 Å, b = 10.3132 Å, c = 9.6778 Å
α = 90.00°, β = 90.00°, γ = 120.00°
Space group P6_3mc (No. 186)
Symmetry-distinct sites (fractional):
Cs: 0.1529 0.3057 0.0000 [6 per cell]
Ta: 0.3333 0.6667 0.4656 [2 per cell]
Cl: 0.0000 0.0000 0.2564 [2 per cell]
Cl: 0.1157 0.5579 0.3268 [6 per cell]
Cl: 0.2248 0.4497 0.6096 [6 per cell]
Cl: 0.3333 0.6667 0.9698 [2 per cell]


# Cs2TaTeCl6

An optimized crystal structure of Cs2TaTeCl6 (PBE, the Alexandria database).

Results
For the density of states at the Fermi level, the calculation gives 1.131 states/eV per atom. As for the energy relative to the elements, uncorrected: -12.46 eV/f.u.

a = 8.238 Å, b = 8.238 Å, c = 12.048 Å
α = 90.00°, β = 90.00°, γ = 90.00°
Space group I4/mmm (No. 139)
Symmetry-distinct sites (fractional):
Cs: 0.000 0.500 0.250 [4 per cell]
Ta: 0.000 0.000 0.000 [2 per cell]
Te: 0.000 0.000 0.500 [2 per cell]
Cl: 0.000 0.000 0.199 [4 per cell]
Cl: 0.205 0.205 0.000 [8 per cell]


# Cs2TaTlCl6

An optimized crystal structure of Cs2TaTlCl6 (PBE, the Alexandria database).

Results
For the density of states at the Fermi level, the calculation gives 1.305 states/eV per atom. As for the energy relative to the elements, uncorrected: -14.23 eV/f.u.

a = 11.145 Å, b = 11.145 Å, c = 11.145 Å
α = 90.00°, β = 90.00°, γ = 90.00°
Space group Fm-3m (No. 225)
Symmetry-distinct sites (fractional):
Cs: 0.250 0.250 0.250 [8 per cell]
Ta: 0.000 0.000 0.000 [4 per cell]
Tl: 0.000 0.000 0.500 [4 per cell]
Cl: 0.000 0.000 0.223 [24 per cell]


# CsTaTl2Cl8

An optimized crystal structure of CsTaTl2Cl8 (PBE, the Alexandria database).

Results
For the density of states at the Fermi level, the calculation gives 0.000 states/eV per atom. As for the energy relative to the elements, uncorrected: -16.18 eV/f.u.

a = 6.185 Å, b = 7.732 Å, c = 9.799 Å
α = 90.16°, β = 90.29°, γ = 108.32°
Space group P-1 (No. 2)
Symmetry-distinct sites (fractional):
Cs: 0.000 0.000 0.000 [1 per cell]
Ta: 0.000 0.000 0.500 [1 per cell]
Tl: 0.498 0.499 0.774 [2 per cell]
Cl: 0.067 0.804 0.328 [2 per cell]
Cl: 0.071 0.807 0.672 [2 per cell]
Cl: 0.387 0.177 0.500 [2 per cell]
Cl: 0.424 0.720 0.000 [2 per cell]


# Cs2TaVCl6

An optimized crystal structure of Cs2TaVCl6 (PBE, the Alexandria database).

Results
For the density of states at the Fermi level, the calculation gives 0.598 states/eV per atom. As for the energy relative to the elements, uncorrected: -11.98 eV/f.u.

a = 7.282 Å, b = 7.282 Å, c = 10.316 Å
α = 90.00°, β = 90.00°, γ = 90.00°
Space group I4/mmm (No. 139)
Symmetry-distinct sites (fractional):
Cs: 0.000 0.500 0.250 [4 per cell]
Ta: 0.000 0.000 0.000 [2 per cell]
V: 0.000 0.000 0.500 [2 per cell]
Cl: 0.000 0.000 0.248 [4 per cell]
Cl: 0.249 0.249 0.000 [8 per cell]


# Cs2ZrTaCl6

An optimized crystal structure of Cs2ZrTaCl6 (PBE, the Alexandria database).

Results
For the density of states at the Fermi level, the calculation gives 0.562 states/eV per atom. As for the energy relative to the elements, uncorrected: -12.70 eV/f.u.

a = 10.339 Å, b = 10.339 Å, c = 10.339 Å
α = 90.00°, β = 90.00°, γ = 90.00°
Space group Fm-3m (No. 225)
Symmetry-distinct sites (fractional):
Cs: 0.250 0.250 0.250 [8 per cell]
Zr: 0.000 0.000 0.000 [4 per cell]
Ta: 0.000 0.000 0.500 [4 per cell]
Cl: 0.000 0.000 0.254 [24 per cell]


# Cs3Tb2Cl8

An optimized crystal structure of Cs3Tb2Cl8 (PBE, the Alexandria database).

Results
As for the energy relative to the elements, uncorrected: -26.28 eV/f.u.

a = 13.602 Å, b = 8.953 Å, c = 9.968 Å
α = 90.00°, β = 118.09°, γ = 90.00°
Space group C2/m (No. 12)
Symmetry-distinct sites (fractional):
Cs: 0.000 0.000 0.000 [2 per cell]
Cs: 0.183 0.000 0.647 [4 per cell]
Tb: 0.037 0.500 0.691 [4 per cell]
Cl: 0.023 0.225 0.296 [8 per cell]
Cl: 0.174 0.500 0.573 [4 per cell]
Cl: 0.210 0.500 0.963 [4 per cell]


# Cs4TbCl7

An optimized crystal structure of Cs4TbCl7 (PBE, the Alexandria database).

Results
For the density of states at the Fermi level, the calculation gives 0.000 states/eV per atom. As for the energy relative to the elements, uncorrected: -22.50 eV/f.u.

a = 17.615 Å, b = 5.212 Å, c = 14.518 Å
α = 90.00°, β = 126.52°, γ = 90.00°
Space group C2/m (No. 12)
Symmetry-distinct sites (fractional):
Cs: 0.130 0.000 0.232 [4 per cell]
Cs: 0.140 0.500 0.860 [4 per cell]
Tb: 0.000 0.000 0.500 [2 per cell]
Cl: 0.000 0.500 0.500 [2 per cell]
Cl: 0.094 0.500 0.360 [4 per cell]
Cl: 0.116 0.000 0.987 [4 per cell]
Cl: 0.162 0.000 0.694 [4 per cell]